[1]
The following is a DFT calculation (GGA-PBE) of a relaxed LiCa2CeSe4 crystal.

## Properties
As for the space group: No. 10. The total magnetic moment comes out at 0.98 Bohr magnetons per cell. For the uncorrected formation energy, the calculation gives -1792.1 meV per atom.

a = 7.1722 Å, b = 4.2239 Å, c = 7.2530 Å
α = 90.00°, β = 108.88°, γ = 90.00°
Fractional positions:
Li (0.0000, 0.0000, 0.0000)
Ca (0.0000, 0.5000, 0.5000)
Ca (0.5000, 0.0000, 0.5000)
Ce (0.5000, 0.5000, 0.0000)
Se (0.2459, 0.0000, 0.7533)
Se (0.2495, 0.5000, 0.2469)
Se (0.7505, 0.5000, 0.7531)
Se (0.7541, 0.0000, 0.2467)

[2]
The following is a DFT calculation (GGA-PBE) of a relaxed LiCa3Ce3Se8 crystal.

## Properties
As for the space group: No. 166. The total magnetic moment comes out at 2.97 Bohr magnetons per cell. For the uncorrected formation energy, the calculation gives -1761.5 meV per atom.

a = 8.4038 Å, b = 8.4038 Å, c = 8.4038 Å
α = 59.79°, β = 59.79°, γ = 59.79°
Fractional positions:
Li (0.0000, 0.0000, 0.0000)
Ca (0.0000, 0.0000, 0.5000)
Ca (0.0000, 0.5000, 0.0000)
Ca (0.5000, 0.0000, 0.0000)
Ce (0.0000, 0.5000, 0.5000)
Ce (0.5000, 0.0000, 0.5000)
Ce (0.5000, 0.5000, 0.0000)
Se (0.2440, 0.2440, 0.7515)
Se (0.2440, 0.7515, 0.2440)
Se (0.2483, 0.2483, 0.2483)
Se (0.2485, 0.7560, 0.7560)
Se (0.7515, 0.2440, 0.2440)
Se (0.7517, 0.7517, 0.7517)
Se (0.7560, 0.2485, 0.7560)
Se (0.7560, 0.7560, 0.2485)

[3]
The following is a DFT calculation (GGA-PBE) of a relaxed Li2CaCeSe4 crystal.

## Properties
As for the space group: No. 10. The total magnetic moment comes out at 0.00 Bohr magnetons per cell. For the uncorrected formation energy, the calculation gives -1572.4 meV per atom.

a = 6.8353 Å, b = 4.1844 Å, c = 7.1376 Å
α = 90.00°, β = 109.83°, γ = 90.00°
Fractional positions:
Li (0.0000, 0.0000, 0.0000)
Li (0.0000, 0.5000, 0.5000)
Ca (0.5000, 0.0000, 0.5000)
Ce (0.5000, 0.5000, 0.0000)
Se (0.2438, 0.0000, 0.7570)
Se (0.2456, 0.5000, 0.2400)
Se (0.7544, 0.5000, 0.7600)
Se (0.7562, 0.0000, 0.2430)

[4]
The following is a DFT calculation (GGA-PBE) of a relaxed LiCaCeSe3 crystal.

## Properties
As for the space group: No. 11. The total magnetic moment comes out at 1.95 Bohr magnetons per cell. For the uncorrected formation energy, the calculation gives -1672.6 meV per atom.

a = 8.6410 Å, b = 4.1431 Å, c = 8.9158 Å
α = 90.00°, β = 100.47°, γ = 90.00°
Fractional positions:
Li (0.0837, 0.2500, 0.0809)
Li (0.9163, 0.7500, 0.9191)
Ca (0.1742, 0.2500, 0.7230)
Ca (0.8258, 0.7500, 0.2770)
Ce (0.3350, 0.7500, 0.3250)
Ce (0.6650, 0.2500, 0.6750)
Se (0.1001, 0.2500, 0.3661)
Se (0.2124, 0.7500, 0.9948)
Se (0.4181, 0.7500, 0.6661)
Se (0.5819, 0.2500, 0.3339)
Se (0.7876, 0.2500, 0.0052)
Se (0.8999, 0.7500, 0.6339)

[5]
The following is a DFT calculation (GGA-PBE) of a relaxed LiCaCe2Se4 crystal.

## Properties
As for the space group: No. 10. The total magnetic moment comes out at 2.61 Bohr magnetons per cell. For the uncorrected formation energy, the calculation gives -1732.8 meV per atom.

a = 7.2269 Å, b = 4.1882 Å, c = 7.2672 Å
α = 90.00°, β = 109.40°, γ = 90.00°
Fractional positions:
Li (0.0000, 0.0000, 0.0000)
Ca (0.5000, 0.5000, 0.0000)
Ce (0.0000, 0.5000, 0.5000)
Ce (0.5000, 0.0000, 0.5000)
Se (0.2442, 0.5000, 0.2427)
Se (0.2482, 0.0000, 0.7575)
Se (0.7518, 0.0000, 0.2425)
Se (0.7558, 0.5000, 0.7573)

[6]
The following is a DFT calculation (GGA-PBE) of a relaxed LiCaCeSi crystal.

## Properties
As for the space group: No. 216. The total magnetic moment comes out at 1.19 Bohr magnetons per cell. For the uncorrected formation energy, the calculation gives -202.1 meV per atom.

a = 5.1192 Å, b = 5.1192 Å, c = 5.1192 Å
α = 60.00°, β = 60.00°, γ = 60.00°
Fractional positions:
Li (0.0000, 0.0000, 0.0000)
Ca (0.2500, 0.2500, 0.2500)
Ce (0.7500, 0.7500, 0.7500)
Si (0.5000, 0.5000, 0.5000)

[7]
The following is a DFT calculation (GGA-PBE) of a relaxed LiCaCeSn crystal.

## Properties
As for the space group: No. 216. The energy relative to the elements is -0.33 eV per atom. The total magnetic moment comes out at 1.29 Bohr magnetons per cell.

a = 5.4007 Å, b = 5.4007 Å, c = 5.4007 Å
α = 60.00°, β = 60.00°, γ = 60.00°
Fractional positions:
Li (0.0000, 0.0000, 0.0000)
Ca (0.7500, 0.7500, 0.7500)
Ce (0.2500, 0.2500, 0.2500)
Sn (0.5000, 0.5000, 0.5000)

[8]
The following is a DFT calculation (GGA-PBE) of a relaxed Li2CaCeSn2 crystal.

## Properties
As for the space group: No. 164. The energy relative to the elements is -0.56 eV per atom. The total magnetic moment comes out at 0.33 Bohr magnetons per cell.

a = 4.8158 Å, b = 4.8158 Å, c = 7.5259 Å
α = 90.00°, β = 90.00°, γ = 120.00°
Fractional positions:
Li (0.3333, 0.6667, 0.2492)
Li (0.6667, 0.3333, 0.7508)
Ca (0.0000, 0.0000, 0.5000)
Ce (0.0000, 0.0000, 0.0000)
Sn (0.3333, 0.6667, 0.7732)
Sn (0.6667, 0.3333, 0.2268)